Crystalline VHg3Se at its relaxed geometry. Source: Alexandria via LeMat-Bulk, functional PBE.

```
5
Lattice="5.364 0.000 0.000 0.000 5.364 0.000 0.000 0.000 5.364" Properties=species:S:1:pos:R:3 pbc="T T T"
V 0.000 0.000 0.000
Hg 0.000 2.682 2.682
Hg 2.682 0.000 2.682
Hg 2.682 2.682 0.000
Se 2.682 2.682 2.682
```

Calculated values
E above lowest polymorph: 252 meV per atom
total energy: -8.8 eV for the cell shown
formation energy (no corrections): 938 meV/atom
V: 30.9 Å³/atom
magnetic moment: 4.3 μB per formula unit